# InTc2W | Alexandria via LeMat-Bulk | PBE | optimized geometry
# - M_tot (μB per cell) = 0.00
# - mass density (Mg/m³) = 12.30
# - DFT formation energy (eV per atom) = 0.3100
# - E_tot (eV/cell) = -70.4
data_InTc2W
_cell_length_a 9.306
_cell_length_b 3.038
_cell_length_c 4.927
_cell_angle_alpha 90.00
_cell_angle_beta 106.55
_cell_angle_gamma 90.00
_symmetry_space_group_name_H-M 'C 1 2/m 1'
_symmetry_Int_Tables_number 12
loop_
_symmetry_equiv_pos_as_xyz
'x,y,z'
'-x,-y,-z'
'-x,y,-z'
'x,-y,z'
'x+1/2,y+1/2,z'
'-x+1/2,-y+1/2,-z'
'-x+1/2,y+1/2,-z'
'x+1/2,-y+1/2,z'
loop_
_atom_site_label
_atom_site_type_symbol
_atom_site_fract_x
_atom_site_fract_y
_atom_site_fract_z
In1 In 0.000 0.000 0.000
Tc1 Tc 0.231 0.000 0.717
W1 W 0.000 0.500 0.500


# ZrRe2Cl | Alexandria via LeMat-Bulk | PBE | optimized geometry
# - M_tot (μB per cell) = 0.00
# - E_form (uncorrected) (meV per atom) = 659
# - mass density (Mg/m³) = 12.21
# - offset from the most stable computed form (eV/atom) = 0.784
# - E_tot (eV/cell) = -65.3
data_ZrRe2Cl
_cell_length_a 4.945
_cell_length_b 4.945
_cell_length_c 5.553
_cell_angle_alpha 90.00
_cell_angle_beta 90.00
_cell_angle_gamma 90.00
_symmetry_space_group_name_H-M 'I -4 m 2'
_symmetry_Int_Tables_number 119
_symmetry_space_group_name_Hall 'I -4 -2'
loop_
_atom_site_label
_atom_site_type_symbol
_atom_site_fract_x
_atom_site_fract_y
_atom_site_fract_z
Zr1 Zr 0.000 0.000 0.000
Re1 Re 0.000 0.000 0.500
Re2 Re 0.000 0.500 0.250
Cl1 Cl 0.000 0.500 0.750


# Nb2BP | Alexandria via LeMat-Bulk | PBE | optimized geometry
# - M_tot (μB per cell) = 0.00
# - mass density (Mg/m³) = 6.56
# - DFT formation energy (eV per atom) = -0.6693
# - offset from the most stable computed form (eV/atom) = 0.000
# - E_tot (eV/cell) = -104.7
data_Nb2BP
_cell_length_a 3.3797
_cell_length_b 3.3797
_cell_length_c 17.4772
_cell_angle_alpha 90.00
_cell_angle_beta 90.00
_cell_angle_gamma 120.00
_symmetry_space_group_name_H-M 'R -3 m'
_symmetry_Int_Tables_number 166
_symmetry_space_group_name_Hall '-R 3 2"'
loop_
_atom_site_label
_atom_site_type_symbol
_atom_site_fract_x
_atom_site_fract_y
_atom_site_fract_z
Nb1 Nb 0.0000 0.0000 0.2368
B1 B 0.0000 0.0000 0.5000
P1 P 0.0000 0.0000 0.0000